## Mn3GaH (GGA-PBE)

Data for a relaxed structure of Mn3GaH.

Values from the calculation:
- size of the total moment (μB/f.u.) = 0.47
- volume (Å³ per cell) = 102.3
- raw total energy (eV per atom) = -6.784

Lattice parameters (Å, degrees): 4.548 5.298 5.194 60.64 90.00 72.38
Fractional coordinates of all 10 atoms:
H: 0.223 0.405 0.257
H: 0.645 0.926 0.996
Mn: 0.469 0.192 0.108
Mn: 0.469 0.192 0.618
Mn: 0.454 0.660 0.129
Mn: 0.934 0.196 0.361
Mn: 0.947 0.692 0.862
Mn: 0.947 0.692 0.365
Ga: 0.983 0.186 0.866
Ga: 0.438 0.710 0.604


## Mn3GaH (GGA-PBE)

Data for a relaxed structure of Mn3GaH.

Values from the calculation:
- size of the total moment (μB/f.u.) = 5.01
- volume (Å³ per cell) = 151.1
- raw total energy (eV per atom) = -6.316

Lattice parameters (Å, degrees): 6.811 6.811 4.397 90.00 90.00 132.19
Fractional coordinates of all 10 atoms:
H: 0.428 0.572 0.250
H: 0.572 0.428 0.750
Mn: 0.094 0.393 0.250
Mn: 0.607 0.906 0.250
Mn: 0.393 0.094 0.750
Mn: 0.906 0.607 0.750
Mn: 0.000 0.000 0.000
Mn: 0.000 0.000 0.500
Ga: 0.182 0.818 0.250
Ga: 0.818 0.182 0.750


What is the size of the total moment in the second record?
5.01 μB/f.u.